Record 1
Er11Rh4Pb9 | GGA-PBE | relaxed

a = 3.7229 Å, b = 13.2138 Å, c = 13.2138 Å
α = 112.24°, β = 90.00°, γ = 90.00°
Sites, in units of the cell vectors:
1 Er 0.0000 0.5821 0.9157
2 Er 0.0000 0.4179 0.0843
3 Er 0.0000 0.9157 0.5821
4 Er 0.0000 0.0843 0.4179
5 Er 0.0000 0.6276 0.3724
6 Er 0.0000 0.3724 0.6276
7 Er 0.0000 0.8393 0.1607
8 Er 0.0000 0.1607 0.8393
9 Er 0.0000 0.0000 0.0000
10 Er 0.0000 0.6885 0.6885
11 Er 0.0000 0.3115 0.3115
12 Rh 0.5000 0.5497 0.7527
13 Rh 0.5000 0.4503 0.2473
14 Rh 0.5000 0.7527 0.5497
15 Rh 0.5000 0.2473 0.4503
16 Pb 0.5000 0.6291 0.1468
17 Pb 0.5000 0.3709 0.8532
18 Pb 0.5000 0.1468 0.6291
19 Pb 0.5000 0.8532 0.3709
20 Pb 0.5000 0.7828 0.9315
21 Pb 0.5000 0.2172 0.0685
22 Pb 0.5000 0.9315 0.7828
23 Pb 0.5000 0.0685 0.2172
24 Pb 0.5000 0.5000 0.5000

Summary:
ΔH_f (0 K) ... -598 meV per atom
Total DFT energy (no corrections) ... -5.305 eV/atom
Crystal system ... orthorhombic
Total magnetization ... 0.0 μB per formula unit

---

Record 2
Ac6Zn5Ag | GGA-PBE | relaxed

a = 5.5382 Å, b = 7.8598 Å, c = 8.7611 Å
α = 90.00°, β = 71.54°, γ = 90.00°
Sites, in units of the cell vectors:
1 Ac 0.8326 0.7467 0.3346
2 Ac 0.8326 0.2533 0.3346
3 Ac 0.5000 0.2531 0.0000
4 Ac 0.5000 0.7469 0.0000
5 Ac 0.1674 0.7467 0.6654
6 Ac 0.1674 0.2533 0.6654
7 Zn 0.6670 0.5000 0.6660
8 Zn 0.3305 0.0000 0.3390
9 Zn 0.0000 0.5000 0.0000
10 Zn 0.6695 0.0000 0.6610
11 Zn 0.3330 0.5000 0.3340
12 Ag 0.0000 0.0000 0.0000

Summary:
ΔH_f (0 K) ... -249 meV per atom
Total DFT energy (no corrections) ... -3.072 eV/atom
Crystal system ... orthorhombic
Total magnetization ... 0.0 μB per formula unit

---

Record 3
Nd5YHo2Th | GGA-PBE | relaxed

a = 5.4246 Å, b = 11.2092 Å, c = 10.6015 Å
α = 90.00°, β = 90.00°, γ = 104.00°
Sites, in units of the cell vectors:
1 Nd 0.3748 0.7496 0.0082
2 Nd 0.7224 0.4447 0.8150
3 Nd 0.5001 0.0001 0.7580
4 Nd 0.2779 0.5558 0.7019
5 Nd 0.0026 0.0052 0.5081
6 Nd 0.6252 0.2504 0.5082
7 Nd 0.2776 0.5553 0.3150
8 Nd 0.4999 0.9999 0.2580
9 Nd 0.7221 0.4442 0.2019
10 Nd 0.9974 0.9948 0.0081
11 Y 0.6019 0.2037 0.0081
12 Y 0.3981 0.7963 0.5081
13 Ho 0.8869 0.7739 0.7542
14 Ho 0.1133 0.2266 0.7620
15 Ho 0.1131 0.2261 0.2542
16 Ho 0.8867 0.7734 0.2620
17 Th 0.7862 0.5724 0.5084
18 Th 0.2138 0.4276 0.0084

Summary:
ΔH_f (0 K) ... 144 meV per atom
Total DFT energy (no corrections) ... -5.065 eV/atom
Crystal system ... orthorhombic
Total magnetization ... 0.0 μB per formula unit

---

Record 4
ErSnPdRh | GGA-PBE | relaxed

a = 4.7260 Å, b = 4.7260 Å, c = 4.7260 Å
α = 60.00°, β = 60.00°, γ = 60.00°
Sites, in units of the cell vectors:
1 Rh 0.2500 0.2500 0.2500
2 Sn 0.5000 0.5000 0.5000
3 Pd 0.7500 0.7500 0.7500
4 Er 0.0000 0.0000 0.0000

Summary:
ΔH_f (0 K) ... -833 meV per atom
Total DFT energy (no corrections) ... -6.111 eV/atom
Crystal system ... cubic
Total magnetization ... 0.0 μB per formula unit

---

Record 5
Zn2Cu2Pd | GGA-PBE | relaxed

a = 6.9657 Å, b = 6.9657 Å, c = 2.8313 Å
α = 90.00°, β = 90.00°, γ = 90.00°
Sites, in units of the cell vectors:
1 Zn 0.3621 0.8621 0.0000
2 Zn 0.8621 0.6379 0.0000
3 Zn 0.6379 0.1379 0.0000
4 Zn 0.1379 0.3621 0.0000
5 Cu 0.1602 0.6602 0.5000
6 Cu 0.6602 0.8398 0.5000
7 Cu 0.8398 0.3398 0.5000
8 Cu 0.3398 0.1602 0.5000
9 Pd 0.0000 0.0000 0.0000
10 Pd 0.5000 0.5000 0.0000

Summary:
ΔH_f (0 K) ... -125 meV per atom
Total DFT energy (no corrections) ... -3.311 eV/atom
Crystal system ... tetragonal
Total magnetization ... 0.0 μB per formula unit
Energy above the most stable polymorph in this dataset ... 1.55 kcal/mol of atoms

---

Record 6
Tl2MoPb | GGA-PBE | relaxed

a = 5.1143 Å, b = 4.4673 Å, c = 4.4673 Å
α = 90.00°, β = 90.00°, γ = 90.00°
Each line ends with the local moment (μB).
Sites, in units of the cell vectors:
1 Mo 0.5000 0.5000 0.0000  2.71
2 Pb 0.5000 0.0000 0.5000  -0.05
3 Tl 0.0000 0.0000 0.0000  0.01
4 Tl 0.0000 0.5000 0.5000  0.01

Summary:
ΔH_f (0 K) ... 793 meV per atom
Total DFT energy (no corrections) ... -4.025 eV/atom
Crystal system ... tetragonal
Total magnetization ... 3.1 μB per formula unit
Energy above the most stable polymorph in this dataset ... 7.01 kcal/mol of atoms

---

Record 7
HfZn12Ag3 | GGA-PBE | relaxed

a = 4.1229 Å, b = 4.1229 Å, c = 14.8837 Å
α = 90.00°, β = 90.00°, γ = 90.00°
Sites, in units of the cell vectors:
1 Hf 0.0000 0.0000 0.0000
2 Zn 0.5000 0.5000 0.0000
3 Zn 0.5000 0.5000 0.2603
4 Zn 0.5000 0.5000 0.5000
5 Zn 0.5000 0.5000 0.7397
6 Zn 0.5000 0.0000 0.1296
7 Zn 0.5000 0.0000 0.3764
8 Zn 0.5000 0.0000 0.6236
9 Zn 0.5000 0.0000 0.8704
10 Zn 0.0000 0.5000 0.1296
11 Zn 0.0000 0.5000 0.3764
12 Zn 0.0000 0.5000 0.6236
13 Zn 0.0000 0.5000 0.8704
14 Ag 0.0000 0.0000 0.2494
15 Ag 0.0000 0.0000 0.5000
16 Ag 0.0000 0.0000 0.7506

Summary:
ΔH_f (0 K) ... -50 meV per atom
Total DFT energy (no corrections) ... -2.162 eV/atom
Crystal system ... tetragonal
Total magnetization ... 0.0 μB per formula unit

---

Record 8
NaMgNi2H8 | GGA-PBE | relaxed

a = 4.6860 Å, b = 4.6860 Å, c = 6.0823 Å
α = 67.34°, β = 67.34°, γ = 60.00°
Sites, in units of the cell vectors:
1 Na 0.5000 0.5000 0.5000
2 Mg 0.0000 0.0000 0.0000
3 Ni 0.3107 0.3107 0.0680
4 Ni 0.6893 0.6893 0.9320
5 H 0.2151 0.2151 0.3548
6 H 0.5754 0.3670 0.1498
7 H 0.7849 0.7849 0.6452
8 H 0.9078 0.5754 0.1498
9 H 0.0922 0.4246 0.8502
10 H 0.3670 0.9078 0.1498
11 H 0.6330 0.0922 0.8502
12 H 0.4246 0.6330 0.8502

Summary:
Total DFT energy (no corrections) ... -3.438 eV/atom
Crystal system ... trigonal
Total magnetization ... 0.0 μB per formula unit

---

Record 9
ReMo12W6 | GGA-PBE | relaxed

a = 7.1096 Å, b = 7.1096 Å, c = 7.1096 Å
α = 91.83°, β = 91.83°, γ = 91.83°
Each line ends with the local moment (μB).
Sites, in units of the cell vectors:
1 Re 0.0000 0.0000 0.0000  0.77
2 Mo 0.8632 0.1368 0.5000  0.00
3 Mo 0.4920 0.1921 0.4920  0.00
4 Mo 0.4920 0.4920 0.1921  0.00
5 Mo 0.8079 0.5080 0.5080  0.00
6 Mo 0.5080 0.5080 0.8079  0.00
7 Mo 0.5080 0.8079 0.5080  0.00
8 Mo 0.5000 0.8632 0.1368  0.00
9 Mo 0.1368 0.5000 0.8632  0.00
10 Mo 0.1368 0.8632 0.5000  0.00
11 Mo 0.5000 0.1368 0.8632  0.00
12 Mo 0.8632 0.5000 0.1368  0.00
13 Mo 0.1921 0.4920 0.4920  0.00
14 W 0.8248 0.2950 0.8248  -0.01
15 W 0.8248 0.8248 0.2950  -0.01
16 W 0.2950 0.8248 0.8248  -0.01
17 W 0.1752 0.1752 0.7050  -0.01
18 W 0.1752 0.7050 0.1752  -0.01
19 W 0.7050 0.1752 0.1752  -0.01

Summary:
ΔH_f (0 K) ... 1090 meV per atom
Total DFT energy (no corrections) ... -10.497 eV/atom
Crystal system ... trigonal
Total magnetization ... 0.9 μB per formula unit

---

Record 10
LiAgPt | GGA-PBE | relaxed

a = 4.4286 Å, b = 4.4286 Å, c = 2.7357 Å
α = 90.00°, β = 90.00°, γ = 120.00°
Sites, in units of the cell vectors:
1 Ag 0.0000 0.0000 0.0764
2 Li 0.6667 0.3333 0.3045
3 Pt 0.3333 0.6667 0.6190

Summary:
ΔH_f (0 K) ... -292 meV per atom
Total DFT energy (no corrections) ... -3.894 eV/atom
Crystal system ... trigonal
Total magnetization ... 0.0 μB per formula unit
Energy above the most stable polymorph in this dataset ... 0.00 kcal/mol of atoms

---

Record 11
Ho3ErPb3 | GGA-PBE | relaxed

a = 7.8709 Å, b = 7.8709 Å, c = 7.8306 Å
α = 89.61°, β = 89.61°, γ = 113.19°
Sites, in units of the cell vectors:
1 Ho 0.6320 0.6320 0.3608
2 Ho 0.1464 0.8536 0.5000
3 Ho 0.8536 0.1464 0.5000
4 Ho 0.2224 0.7776 0.0000
5 Ho 0.7776 0.2224 0.0000
6 Ho 0.3680 0.3680 0.6392
7 Er 0.7005 0.7005 0.9095
8 Er 0.2995 0.2995 0.0905
9 Pb 0.9464 0.9464 0.1971
10 Pb 0.8440 0.4858 0.6810
11 Pb 0.4858 0.8440 0.6810
12 Pb 0.1560 0.5142 0.3190
13 Pb 0.5142 0.1560 0.3190
14 Pb 0.0536 0.0536 0.8029

Summary:
ΔH_f (0 K) ... -211 meV per atom
Total DFT energy (no corrections) ... -4.414 eV/atom
Crystal system ... monoclinic
Total magnetization ... 0.0 μB per formula unit

---

Record 12
Zn4CdTe | GGA-PBE | relaxed

a = 5.4805 Å, b = 5.4805 Å, c = 5.4805 Å
α = 60.00°, β = 60.00°, γ = 60.00°
Sites, in units of the cell vectors:
1 Zn 0.8751 0.3750 0.3750
2 Zn 0.3750 0.3750 0.8751
3 Zn 0.3750 0.8751 0.3750
4 Zn 0.3750 0.3750 0.3750
5 Cd 0.7500 0.7500 0.7500
6 Te 0.0000 0.0000 0.0000

Summary:
Total DFT energy (no corrections) ... -1.355 eV/atom
Crystal system ... cubic
Total magnetization ... 0.0 μB per formula unit